The following is a PBE calculation of Dy5PuAs6 after structural relaxation, from Alexandria.

Calculated values
calculated volume	24.7	A^3/atom
calculated formation energy	-1441	meV per atom

Cell: 7.1352 7.1352 7.1362 Å, 99.59 99.59 120.00°
Element x y z (fractional)
Dy 0.0000 0.0000 0.0000
Dy 0.1665 0.8335 0.5000
Dy 0.3331 0.6669 0.0000
Dy 0.6669 0.3331 0.0000
Dy 0.8335 0.1665 0.5000
Pu 0.5000 0.5000 0.5000
As 0.0848 0.4167 0.2502
As 0.2510 0.2510 0.7490
As 0.4167 0.0848 0.2502
As 0.5833 0.9152 0.7498
As 0.7490 0.7490 0.2510
As 0.9152 0.5833 0.7498